An optimized crystal structure of La2CoMo. Source: Alexandria, functional GGA-PBEsol.

Values from the calculation:
Spin magnetization, μB per formula unit: 0.00
Uncorrected energy, eV/cell: -29.1
Energy above the lowest structure with this stoichiometry, eV per formula unit: 0.00
Fermi-level density of states, states/eV/f.u.: 4.33
ΔH_f (0 K), eV per formula unit: 1.11

abc: 6.1781 6.1781 6.1781
angles: 147.51 133.78 57.63
Closest atoms and distances in Å follow each position.
Fractional coordinates of all 4 atoms:
La  0.0000  0.0000  0.0000  4 Co 3.09, 4 La 3.28-3.46, 2 Mo 3.32
La  0.7044  0.2044  0.5000  4 Mo 3.12, 4 La 3.28-3.46, 2 Co 3.39
Co  0.4235  0.4235  0.0000  2 Mo 2.25
Mo  0.2909  0.7909  0.5000  2 Co 2.25

---

An optimized crystal structure of LaCo2Mo. Source: Alexandria, functional GGA-PBEsol.

Values from the calculation:
Spin magnetization, μB per formula unit: 1.36
Uncorrected energy, eV/cell: -31.1
Fermi-level density of states, states/eV/f.u.: 5.85
ΔH_f (0 K), eV per formula unit: 1.50

abc: 3.0661 3.0661 6.9121
angles: 90.00 90.00 90.00
Closest atoms and distances in Å follow each position.
Fractional coordinates of all 4 atoms:
La  0.0000  0.0000  0.0000  5 Co 3.00-3.32, 4 La 3.07, 4 Mo 3.28
Co  0.0000  0.0000  0.5201  4 Mo 2.45, 4 Co 2.50
Co  0.5000  0.5000  0.7010  1 Mo 2.38, 4 Co 2.50
Mo  0.5000  0.5000  0.3563  5 Co 2.38-2.45

---

An optimized crystal structure of La2CoMo. Source: Alexandria, functional GGA-PBEsol.

Values from the calculation:
Spin magnetization, μB per formula unit: 0.30
Uncorrected energy, eV/cell: -28.2
Energy above the lowest structure with this stoichiometry, eV per formula unit: 0.92
Fermi-level density of states, states/eV/f.u.: 5.64
ΔH_f (0 K), eV per formula unit: 2.03

abc: 3.2414 3.7029 7.0708
angles: 90.00 90.00 90.00
Closest atoms and distances in Å follow each position.
Fractional coordinates of all 4 atoms:
La  0.0000  0.0000  0.2316  4 Co 2.96, 4 Mo 3.11, 3 La 3.24-3.28
La  0.0000  0.0000  0.7684  4 Co 2.96, 4 Mo 3.11, 3 La 3.24-3.28
Co  0.5000  0.5000  0.0000  8 La 2.96, 2 Co 3.24
Mo  0.5000  0.5000  0.5000  8 La 3.11, 2 Mo 3.24

---

An optimized crystal structure of LaCoN3. Source: Alexandria, functional GGA-PBEsol.

Values from the calculation:
Spin magnetization, μB per formula unit: 0.00
Uncorrected energy, eV/cell: -84.1
Fermi-level density of states, states/eV/f.u.: 0.02
Raw formation energy, kJ/mol of atoms: -65.2

abc: 5.6615 5.6615 7.3936
angles: 102.02 102.02 41.42
Closest atoms and distances in Å follow each position.
Fractional coordinates of all 10 atoms:
La  0.1647  0.1647  0.2993  3 N 2.40-2.45
La  0.8353  0.8353  0.7007  3 N 2.40-2.45
Co  0.4596  0.4596  0.3454  2 N 1.66-1.83
Co  0.5404  0.5404  0.6546  2 N 1.66-1.83
N  0.3503  0.3503  0.9575  1 N 1.18
N  0.3660  0.3660  0.5253  2 Co 1.83-1.88
N  0.3943  0.3943  0.1190  1 N 1.18
N  0.6057  0.6057  0.8810  1 N 1.18
N  0.6340  0.6340  0.4747  2 Co 1.83-1.88
N  0.6497  0.6497  0.0425  1 N 1.18

---

An optimized crystal structure of LaCoNO2. Source: Alexandria, functional GGA-PBEsol.

Values from the calculation:
Spin magnetization, μB per formula unit: 0.00
Uncorrected energy, eV/cell: -40.2
Fermi-level density of states, states/eV/f.u.: 2.63
Raw formation energy, kJ/mol of atoms: -155.5

abc: 3.9333 3.9333 3.5079
angles: 90.00 90.00 90.00
Closest atoms and distances in Å follow each position.
Fractional coordinates of all 5 atoms:
La  0.0000  0.0000  0.0000  8 O 2.64, 4 N 2.78
Co  0.5000  0.5000  0.5000  2 N 1.75
N  0.5000  0.5000  0.0000  2 Co 1.75
O  0.0000  0.5000  0.5000  2 Co 1.97
O  0.5000  0.0000  0.5000  2 Co 1.97

---

An optimized crystal structure of LaCoSeN2. Source: Alexandria, functional GGA-PBEsol.

Values from the calculation:
Spin magnetization, μB per formula unit: 2.40
Uncorrected energy, eV/cell: -34.3
Fermi-level density of states, states/eV/f.u.: 2.66
Raw formation energy, kJ/mol of atoms: -6.3

abc: 3.9629 3.9629 4.6340
angles: 90.00 90.00 90.00
Closest atoms and distances in Å follow each position.
Fractional coordinates of all 5 atoms:
La  0.0000  0.0000  0.0000  4 Se 2.80, 8 N 3.05
Co  0.5000  0.5000  0.5000  4 N 1.98
Se  0.5000  0.5000  0.0000  2 Co 2.32
N  0.0000  0.5000  0.5000  2 Co 1.98
N  0.5000  0.0000  0.5000  2 Co 1.98